Sr3Mn2CoO9 | PBE+U | relaxed

a b c (Å): 5.5111 5.5111 6.7229
angles (deg): 90.00 90.00 120.00
Each line ends with the local moment (μB).
Sites, in units of the cell vectors:
O (0.1691, 0.3382, 0.3317)  0.16
O (0.5000, 0.0000, 0.0000)  0.13
O (0.8309, 0.6618, 0.6683)  0.16
O (0.0000, 0.5000, 0.0000)  0.13
O (0.6618, 0.8309, 0.3317)  0.16
O (0.8309, 0.1691, 0.6683)  0.16
O (0.1691, 0.8309, 0.3317)  0.16
O (0.5000, 0.5000, 0.0000)  0.13
O (0.3382, 0.1691, 0.6683)  0.16
Sr (0.6667, 0.3333, 0.3337)  0.00
Sr (0.0000, 0.0000, 0.0000)  0.00
Sr (0.3333, 0.6667, 0.6663)  0.00
Co (0.0000, 0.0000, 0.5000)  2.87
Mn (0.6667, 0.3333, 0.8316)  3.21
Mn (0.3333, 0.6667, 0.1684)  3.21

Values from the calculation:
Size of the total moment (μB per atom): 0.738
Uncorrected energy (eV per formula unit): -98.25
DOS(E_F) (states/eV/f.u.): 5.23